[1]
Material: LuTiClO3
Method: DFT, SCAN
State: PBEsol geometry

Cell: 5.2448 5.2448 9.4540 Å, 105.27 105.27 42.62°
With the nearest neighbours (Å) after each atom.
Element x y z (fractional)
Lu1 0.2259 0.2259 0.2027  3 O 2.11
Lu2 0.7741 0.7741 0.7973  3 O 2.11
Ti1 0.3827 0.3827 0.5744  5 O 1.84-2.06
Ti2 0.6173 0.6173 0.4256  5 O 1.84-2.06
Cl1 0.1144 0.1144 0.9062  3 Lu 2.70-2.83, 1 O 3.00
Cl2 0.8856 0.8856 0.0938  3 Lu 2.70-2.83, 1 O 3.00
O1 0.1699 0.1699 0.4307  3 Ti 1.97-2.14
O2 0.3491 0.3491 0.7589  1 Ti 1.86
O3 0.4213 0.4213 0.3714  2 Ti 1.84-2.06
O4 0.5787 0.5787 0.6286  2 Ti 1.84-2.06
O5 0.6509 0.6509 0.2411  1 Ti 1.86
O6 0.8301 0.8301 0.5693  3 Ti 1.97-2.14

Calculated values
Density: 6.02 g/cm³
Magnetization: 0.00 Bohr magnetons per cell
Raw formation energy: -3413 meV per atom



[2]
Material: CsGaSe3
Method: DFT, SCAN
State: PBEsol geometry

Cell: 7.5891 12.7709 6.7146 Å, 90.00 105.51 90.00°
With the nearest neighbours (Å) after each atom.
Element x y z (fractional)
Cs1 0.2432 0.0796 0.2083  8 Se 3.60-4.00, 1 Ga 3.91
Cs2 0.2432 0.4204 0.7083  8 Se 3.60-4.00, 1 Ga 3.91
Cs3 0.7568 0.5796 0.2917  8 Se 3.60-4.00, 1 Ga 3.91
Cs4 0.7568 0.9204 0.7917  8 Se 3.60-4.00, 1 Ga 3.91
Ga1 0.3218 0.7266 0.3532  4 Se 2.39-2.42
Ga2 0.3218 0.7734 0.8532  4 Se 2.39-2.42
Ga3 0.6782 0.2266 0.1468  4 Se 2.39-2.42
Ga4 0.6782 0.2734 0.6468  4 Se 2.39-2.42
Se1 0.0500 0.6754 0.8608  1 Se 2.38, 1 Ga 2.42
Se2 0.0500 0.8246 0.3608  1 Se 2.38, 1 Ga 2.42
Se3 0.2107 0.5724 0.1480  1 Se 2.38, 1 Ga 2.42
Se4 0.2107 0.9276 0.6480  1 Se 2.38, 1 Ga 2.42
Se5 0.4949 0.1698 0.8171  2 Ga 2.39-2.42
Se6 0.4949 0.3302 0.3171  2 Ga 2.39-2.42
Se7 0.5051 0.6698 0.6829  2 Ga 2.39-2.42
Se8 0.5051 0.8302 0.1829  2 Ga 2.39-2.42
Se9 0.7893 0.0724 0.3520  1 Se 2.38, 1 Ga 2.42
Se10 0.7893 0.4276 0.8520  1 Se 2.38, 1 Ga 2.42
Se11 0.9500 0.1754 0.6392  1 Se 2.38, 1 Ga 2.42
Se12 0.9500 0.3246 0.1392  1 Se 2.38, 1 Ga 2.42

Calculated values
Density: 4.66 g/cm³
Magnetization: 0.00 Bohr magnetons per cell
Relative energy among the computed polymorphs: 0.000 eV per atom
Raw formation energy: -913 meV per atom



[3]
Material: Li2InPb
Method: DFT, SCAN
State: PBEsol geometry

Cell: 3.3302 3.6447 6.6896 Å, 90.00 90.00 90.00°
With the nearest neighbours (Å) after each atom.
Element x y z (fractional)
Li1 0.0000 0.0000 0.2422  4 In 2.95, 4 Pb 3.01, 1 Li 3.24
Li2 0.0000 0.0000 0.7578  4 In 2.95, 4 Pb 3.01, 1 Li 3.24
In1 0.5000 0.5000 0.0000  8 Li 2.95
Pb1 0.5000 0.5000 0.5000  8 Li 3.01, 2 Pb 3.33, 2 In 3.34

Calculated values
Density: 6.87 g/cm³
Magnetization: 0.00 Bohr magnetons per cell
Relative energy among the computed polymorphs: 0.009 eV per atom



[4]
Material: K5Au
Method: DFT, SCAN
State: PBEsol geometry

Cell: 9.2209 9.2209 4.7459 Å, 90.00 90.00 120.00°
With the nearest neighbours (Å) after each atom.
Element x y z (fractional)
K1 0.0000 0.2469 0.0000  2 Au 3.29
K2 0.2469 0.0000 0.0000  2 Au 3.29
K3 0.3333 0.6667 0.5000  8 K 4.26-4.75
K4 0.6667 0.3333 0.5000  8 K 4.26-4.75
K5 0.7531 0.7531 0.0000  2 Au 3.29
Au1 0.0000 0.0000 0.5000  6 K 3.29

Calculated values
Density: 1.86 g/cm³
Magnetization: 0.20 Bohr magnetons per cell
Relative energy among the computed polymorphs: 0.068 eV per atom



[5]
Material: YSi3I
Method: DFT, SCAN
State: PBEsol geometry

Cell: 5.1163 5.1163 5.1163 Å, 90.00 90.00 90.00°
With the nearest neighbours (Å) after each atom.
Element x y z (fractional)
Y1 0.0000 0.0000 0.0000  12 Si 3.62
Si1 0.0000 0.5000 0.5000  2 I 2.56
Si2 0.5000 0.0000 0.5000  2 I 2.56
Si3 0.5000 0.5000 0.0000  2 I 2.56
I1 0.5000 0.5000 0.5000  6 Si 2.56

Calculated values
Density: 3.72 g/cm³
Magnetization: 0.00 Bohr magnetons per cell
Raw formation energy: 1256 meV per atom



[6]
Material: Be2WAu
Method: DFT, SCAN
State: PBEsol geometry

Cell: 5.1644 5.1644 5.1644 Å, 105.86 105.86 116.97°
With the nearest neighbours (Å) after each atom.
Element x y z (fractional)
Be1 0.1086 0.1250 0.4836  2 Au 2.23, 2 W 2.37
Be2 0.3750 0.8914 0.0164  2 Au 2.23, 2 W 2.37
Be3 0.6414 0.6250 0.5164  2 Au 2.23, 2 W 2.37
Be4 0.8750 0.3586 0.9836  2 Au 2.23, 2 W 2.37
W1 0.2500 0.7500 0.5000  4 Be 2.37
W2 0.5000 0.5000 0.0000  4 Be 2.37
Au1 0.0000 0.0000 0.0000  4 Be 2.23
Au2 0.7500 0.2500 0.5000  4 Be 2.23

Calculated values
Density: 12.66 g/cm³
VASP energy: -36.3972 eV/atom
Magnetization: 0.00 Bohr magnetons per cell



[7]
Material: NaBeSi3HO8
Method: DFT, SCAN
State: PBEsol geometry

Cell: 7.3049 7.3451 13.9976 Å, 77.98 77.95 60.82°
With the nearest neighbours (Å) after each atom.
Element x y z (fractional)
Na1 0.1256 0.3335 0.4196  5 O 2.40-2.59
Na2 0.1860 0.3696 0.0731  6 O 2.38-2.64
Na3 0.8140 0.6304 0.9269  6 O 2.38-2.64
Na4 0.8744 0.6665 0.5804  5 O 2.40-2.59
Be1 0.0123 0.1523 0.9969  4 O 1.58-1.68
Be2 0.3457 0.4885 0.5044  4 O 1.58-1.68
Be3 0.6543 0.5115 0.4956  4 O 1.58-1.68
Be4 0.9877 0.8477 0.0031  4 O 1.58-1.68
Si1 0.1399 0.8480 0.3696  4 O 1.60-1.64
Si2 0.2702 0.8169 0.1443  4 O 1.61-1.64
Si3 0.3191 0.7755 0.6405  4 O 1.61-1.64
Si4 0.3500 0.6435 0.8678  4 O 1.60-1.65
Si5 0.3826 0.0587 0.8619  4 O 1.59-1.65
Si6 0.4407 0.1191 0.6378  4 O 1.59-1.65
Si7 0.5593 0.8809 0.3622  4 O 1.59-1.65
Si8 0.6174 0.9413 0.1381  4 O 1.59-1.65
Si9 0.6500 0.3565 0.1322  4 O 1.60-1.65
Si10 0.6809 0.2245 0.3595  4 O 1.61-1.64
Si11 0.7298 0.1831 0.8557  4 O 1.61-1.64
Si12 0.8601 0.1520 0.6304  4 O 1.60-1.64
H1 0.0653 0.4187 0.7531  1 O 0.99
H2 0.0682 0.6247 0.7560  1 O 0.99
H3 0.9318 0.3753 0.2440  1 O 0.99
H4 0.9347 0.5813 0.2469  1 O 0.99
O1 0.0314 0.4287 0.2470  2 H 0.99
O2 0.0867 0.9438 0.6106  2 Si 1.62-1.63
O3 0.0901 0.9247 0.0717  1 Si 1.61, 2 Be 1.66-1.68
O4 0.1496 0.6525 0.4487  1 Be 1.58, 1 Si 1.60
O5 0.1535 0.6524 0.9468  1 Be 1.59, 1 Si 1.60
O6 0.1664 0.7956 0.2581  2 Si 1.63-1.64
O7 0.2006 0.1969 0.9402  1 Be 1.58, 1 Si 1.59
O8 0.2863 0.6811 0.7564  2 Si 1.64-1.65, 1 H 1.83
O9 0.2996 0.3021 0.5610  1 Be 1.58, 1 Si 1.59
O10 0.3143 0.9242 0.3748  2 Si 1.63-1.64
O11 0.3234 0.1711 0.7501  2 Si 1.65
O12 0.3840 0.9669 0.1310  2 Si 1.64
O13 0.4273 0.5893 0.5720  1 Si 1.61, 2 Be 1.66-1.68
O14 0.4305 0.8126 0.8751  2 Si 1.64
O15 0.4420 0.5837 0.1164  2 Si 1.62-1.63
O16 0.4720 0.8852 0.6283  2 Si 1.63-1.65
O17 0.5280 0.1148 0.3717  2 Si 1.63-1.65
O18 0.5580 0.4163 0.8836  2 Si 1.62-1.63
O19 0.5695 0.1874 0.1249  2 Si 1.64
O20 0.5727 0.4107 0.4280  1 Si 1.61, 2 Be 1.66-1.68
O21 0.6160 0.0331 0.8690  2 Si 1.64
O22 0.6766 0.8289 0.2499  2 Si 1.65
O23 0.6857 0.0758 0.6252  2 Si 1.63-1.64
O24 0.7004 0.6979 0.4390  1 Be 1.58, 1 Si 1.59
O25 0.7137 0.3189 0.2436  2 Si 1.64-1.65, 1 H 1.83
O26 0.7994 0.8031 0.0598  1 Be 1.58, 1 Si 1.59
O27 0.8336 0.2044 0.7419  2 Si 1.63-1.64
O28 0.8465 0.3476 0.0532  1 Be 1.59, 1 Si 1.60
O29 0.8504 0.3475 0.5513  1 Be 1.58, 1 Si 1.60
O30 0.9099 0.0753 0.9283  1 Si 1.61, 2 Be 1.66-1.68
O31 0.9133 0.0562 0.3894  2 Si 1.62-1.63
O32 0.9686 0.5713 0.7530  2 H 0.99

Calculated values
Density: 2.56 g/cm³
VASP energy: -9.3227 eV/atom
Magnetization: 0.00 Bohr magnetons per cell



[8]
Material: K3Ba
Method: DFT, SCAN
State: PBEsol geometry

Cell: 4.4695 7.5275 7.9977 Å, 90.00 90.00 90.00°
With the nearest neighbours (Å) after each atom.
Element x y z (fractional)
K1 0.0000 0.0000 0.0000  8 K 4.47-4.60, 4 Ba 4.57-4.59
K2 0.0000 0.5000 0.3301  8 K 4.47-4.62, 4 Ba 4.58
K3 0.5000 0.5000 0.8245  10 K 4.47-4.62, 2 Ba 4.58
Ba1 0.5000 0.0000 0.4988  2 Ba 4.47, 10 K 4.57-4.59

Calculated values
Density: 1.57 g/cm³
VASP energy: -16.0422 eV/atom
Magnetization: 0.03 Bohr magnetons per cell



[9]
Material: BaBePb2
Method: DFT, SCAN
State: PBEsol geometry

Cell: 3.7038 3.7038 7.8815 Å, 90.00 90.00 90.00°
With the nearest neighbours (Å) after each atom.
Element x y z (fractional)
Ba1 0.0000 0.0000 0.0000  8 Pb 3.59, 4 Ba 3.70, 2 Be 3.94
Be1 0.0000 0.0000 0.5000  8 Pb 3.01
Pb1 0.5000 0.5000 0.3122  1 Pb 2.96, 4 Be 3.01
Pb2 0.5000 0.5000 0.6878  1 Pb 2.96, 4 Be 3.01

Calculated values
Density: 8.61 g/cm³
VASP energy: -48.8120 eV/atom
Magnetization: 0.00 Bohr magnetons per cell



[10]
Material: Sc3CrSb
Method: DFT, SCAN
State: PBEsol geometry

Cell: 4.7679 4.7679 4.7679 Å, 90.00 90.00 90.00°
With the nearest neighbours (Å) after each atom.
Element x y z (fractional)
Sc1 0.0000 0.0000 0.5000  2 Cr 2.38
Sc2 0.0000 0.5000 0.0000  2 Cr 2.38
Sc3 0.5000 0.0000 0.0000  2 Cr 2.38
Cr1 0.0000 0.0000 0.0000  6 Sc 2.38
Sb1 0.5000 0.5000 0.5000  12 Sc 3.37

Calculated values
Density: 4.73 g/cm³
Magnetization: 1.36 Bohr magnetons per cell
Raw formation energy: 165 meV per atom



[11]
Material: KLa3In
Method: DFT, SCAN
State: PBEsol geometry

Cell: 6.1227 6.1227 6.1227 Å, 90.00 90.00 90.00°
With the nearest neighbours (Å) after each atom.
Element x y z (fractional)
K1 0.0000 0.0000 0.0000  12 La 4.33
La1 0.0000 0.5000 0.5000  2 In 3.06
La2 0.5000 0.0000 0.5000  2 In 3.06
La3 0.5000 0.5000 0.0000  2 In 3.06
In1 0.5000 0.5000 0.5000  6 La 3.06

Calculated values
Density: 4.13 g/cm³
VASP energy: -33.9904 eV/atom
Magnetization: 1.35 Bohr magnetons per cell



[12]
Material: KIr3Pd
Method: DFT, SCAN
State: PBEsol geometry

Cell: 4.8007 4.8007 4.8007 Å, 90.00 90.00 90.00°
With the nearest neighbours (Å) after each atom.
Element x y z (fractional)
K1 0.0000 0.0000 0.0000  12 Ir 3.39
Ir1 0.0000 0.5000 0.5000  2 Pd 2.40
Ir2 0.5000 0.0000 0.5000  2 Pd 2.40
Ir3 0.5000 0.5000 0.0000  2 Pd 2.40
Pd1 0.5000 0.5000 0.5000  6 Ir 2.40

Calculated values
Density: 10.84 g/cm³
VASP energy: -49.0288 eV/atom
Magnetization: 4.33 Bohr magnetons per cell